Entry 1:
DFT (PBE) results for a relaxed Zn2GaCu7Ge2 crystal.

Its formation energy is 92 meV/atom. The volume comes out at 172 Å³/f.u. The total moment is 0.0000 μB per atom. Its calculated density is 7.6 g/cm³.

The structure belongs to space group C2/m (No. 12); the cell edges are 4.949, 4.953 and 14.266 Å and the angles 90.00°, 99.63° and 90.00°. The inequivalent atoms are Zn at (0.136, 0.000, 0.276), Ga at (0.000, 0.500, 0.000), Cu at (0.000, 0.000, 0.000), Cu at (0.181, 0.250, 0.859), Cu at (0.229, 0.000, 0.456) and Ge at (0.183, 0.500, 0.368).

---

Entry 2:
DFT (PBE) results for a relaxed Zn2GaCuGe crystal.

Its formation energy is 698 meV/atom. The energy above the most stable polymorph in this dataset is 0.342 eV per atom. The volume comes out at 111 Å³/f.u. The total moment is 0.0000 μB per atom. Its calculated density is 5.1 g/cm³.

The structure belongs to space group P4/mmm (No. 123); the cell edges are 4.627, 4.627 and 5.167 Å and the angles 90.00°, 90.00° and 90.00°. The inequivalent atoms are Zn at (0.000, 0.500, 0.000), Ga at (0.000, 0.000, 0.000), Cu at (0.500, 0.500, 0.500) and Ge at (0.000, 0.000, 0.500).

---

Entry 3:
DFT (PBE) results for a relaxed GaCuH crystal.

The energy above the most stable polymorph in this dataset is 0.210 eV per atom. The volume comes out at 39 Å³/f.u. The total moment is 0.0000 μB per atom. Its calculated density is 5.7 g/cm³.

The structure belongs to space group I4mm (No. 107); the cell edges are 3.622, 3.622 and 5.915 Å and the angles 90.00°, 90.00° and 90.00°. The inequivalent atoms are Ga at (0.000, 0.000, 0.000), Cu at (0.000, 0.000, 0.423) and H at (0.000, 0.000, 0.691).

---

Q: Look up the calculated density of the first one.
A: 7.6 g/cm³

---

Repeat the second record exactly.
DFT (PBE) results for a relaxed Zn2GaCuGe crystal.

Its formation energy is 698 meV/atom. The energy above the most stable polymorph in this dataset is 0.342 eV per atom. The volume comes out at 111 Å³/f.u. The total moment is 0.0000 μB per atom. Its calculated density is 5.1 g/cm³.

The structure belongs to space group P4/mmm (No. 123); the cell edges are 4.627, 4.627 and 5.167 Å and the angles 90.00°, 90.00° and 90.00°. The inequivalent atoms are Zn at (0.000, 0.500, 0.000), Ga at (0.000, 0.000, 0.000), Cu at (0.500, 0.500, 0.500) and Ge at (0.000, 0.000, 0.500).

---

Q: Which of these has the lowest calculated density?
A: Zn2GaCuGe